Material: PmNd2Th3
Method: DFT, PBE
State: relaxed

Cell and atoms, written as POSCAR:
```
PmNd2Th3
1.0
6.826 0.000 0.000
0.000 9.969 -5.710
0.000 -2.414 7.342
Pm Th Nd
2 6 4
Direct
0.250 0.230 0.000
0.750 0.770 0.000
0.000 0.500 0.000
0.500 0.166 0.333
0.500 0.834 0.667
0.000 0.834 0.667
0.000 0.166 0.333
0.500 0.500 0.000
0.250 0.563 0.666
0.250 0.897 0.334
0.750 0.103 0.666
0.750 0.437 0.334
```

Results
DOS at the Fermi energy ... 8.046 states/eV/f.u.
Energy relative to the elements ... 1.20 eV per formula unit